The following is a DFT calculation (PBE-GGA) of an optimized crystal structure of AsOs3.

Cell lengths 4.575, 4.575, 2.837 Å; angles 90.00, 90.00, 90.00 degrees
Positions (direct):
As 0.000 0.000 0.000
Os 0.500 0.500 0.000
Os 0.500 0.000 0.500
Os 0.000 0.500 0.500

* DOS(E_F): 1.06 states/eV/atom
* E_tot: -35.7 eV/f.u.
* distance to the lowest polymorph of the same formula: 401 meV/atom
* DFT formation energy: 0.6522 eV per atom
* space group: P4/mmm (123)


The following is a DFT calculation (PBE-GGA) of an optimized crystal structure of TbUHN2.

Cell lengths 3.413, 3.413, 10.924 Å; angles 90.00, 90.00, 90.00 degrees
Each line ends with the local moment (μB).
Positions (direct):
H 0.500 0.500 0.500  0.00
H 0.000 0.000 0.500  0.00
N 0.000 0.500 0.117  -0.05
N 0.500 0.000 0.302  -0.03
N 0.500 0.000 0.883  -0.05
N 0.000 0.500 0.698  -0.03
U 0.000 0.500 0.886  0.91
U 0.500 0.000 0.114  0.91
Tb 0.500 0.000 0.638  0.00
Tb 0.000 0.500 0.362  0.00

* DOS(E_F): 0.61 states/eV/atom
* E_tot: -42.3 eV/f.u.
* space group: P4/nmm (129)


The following is a DFT calculation (PBE-GGA) of an optimized crystal structure of DyYTmMg.

Cell lengths 5.481, 5.481, 5.481 Å; angles 60.00, 60.00, 60.00 degrees
Positions (direct):
Dy 0.250 0.250 0.250
Mg 0.000 0.000 0.000
Y 0.750 0.750 0.750
Tm 0.500 0.500 0.500

* DOS(E_F): 1.16 states/eV/atom
* E_tot: -17.0 eV/f.u.
* distance to the lowest polymorph of the same formula: 63 meV/atom
* DFT formation energy: 0.0361 eV per atom
* space group: F-43m (216)


The following is a DFT calculation (PBE-GGA) of an optimized crystal structure of Tb3TlO6.

Cell lengths 6.780, 6.780, 6.780 Å; angles 91.83, 91.83, 91.83 degrees
Positions (direct):
O 0.179 0.396 0.527
O 0.473 0.821 0.604
O 0.929 0.099 0.681
O 0.527 0.179 0.396
O 0.099 0.681 0.929
O 0.396 0.527 0.179
O 0.319 0.071 0.901
O 0.071 0.901 0.319
O 0.821 0.604 0.473
O 0.681 0.929 0.099
O 0.604 0.473 0.821
O 0.901 0.319 0.071
Tb 0.748 0.933 0.442
Tb 0.252 0.067 0.558
Tb 0.442 0.748 0.933
Tb 0.067 0.558 0.252
Tb 0.558 0.252 0.067
Tb 0.933 0.442 0.748
Tl 0.000 0.000 0.000
Tl 0.500 0.500 0.500

* DOS(E_F): 0.00 states/eV/atom
* E_tot: -74.2 eV/f.u.
* distance to the lowest polymorph of the same formula: 0 meV/atom
* ΔE_f (raw): -2.82 eV/atom
* space group: R-3 (148)


The following is a DFT calculation (PBE-GGA) of an optimized crystal structure of CuGePd2.

Cell lengths 4.018, 5.409, 5.409 Å; angles 81.94, 89.99, 89.99 degrees
Positions (direct):
Pd 0.250 0.591 0.165
Pd 0.750 0.835 0.409
Pd 0.750 0.409 0.835
Pd 0.250 0.165 0.591
Ge 0.750 0.316 0.316
Ge 0.250 0.684 0.684
Cu 0.750 0.903 0.903
Cu 0.250 0.097 0.097

* DOS(E_F): 0.55 states/eV/atom
* E_tot: -20.5 eV/f.u.
* DFT formation energy: -0.3389 eV per atom
* space group: Cmcm (63)


The following is a DFT calculation (PBE-GGA) of an optimized crystal structure of Pu4AsSe2Cl.

Cell lengths 4.147, 7.178, 7.097 Å; angles 70.36, 90.00, 90.00 degrees
Each line ends with the local moment (μB).
Positions (direct):
Pu 0.500 0.748 0.250  5.52
Pu 0.000 0.253 0.248  5.39
Pu 0.500 0.252 0.750  5.52
Pu 0.000 0.747 0.752  5.39
As 0.500 0.500 0.000  -0.13
Se 0.500 0.000 0.500  -0.10
Se 0.000 0.000 0.000  -0.10
Cl 0.000 0.500 0.500  -0.07

* DOS(E_F): 4.60 states/eV/atom
* E_tot: -81.4 eV/f.u.
* ΔE_f (raw): -1.33 eV/atom
* space group: P2/m (10)


The following is a DFT calculation (PBE-GGA) of an optimized crystal structure of ScSeN2O.

Cell lengths 3.939, 3.939, 3.876 Å; angles 90.00, 90.00, 90.00 degrees
Each line ends with the local moment (μB).
Positions (direct):
O 0.000 0.000 0.000  -0.04
N 0.500 0.000 0.000  0.09
N 0.000 0.500 0.000  0.09
Sc 0.500 0.500 0.500  -0.01
Se 0.000 0.000 0.500  0.00

* DOS(E_F): 0.37 states/eV/atom
* E_tot: -26.6 eV/f.u.
* ΔE_f (raw): 0.96 eV/atom
* space group: P4/mmm (123)


The following is a DFT calculation (PBE-GGA) of an optimized crystal structure of DyHo3Tm2As6.

Cell lengths 4.091, 8.180, 9.145 Å; angles 102.90, 102.93, 90.00 degrees
Positions (direct):
As 0.333 0.915 0.666
As 0.999 0.749 0.999
As 0.667 0.582 0.334
As 0.333 0.418 0.666
As 0.001 0.251 0.001
As 0.667 0.085 0.334
Tm 0.167 0.334 0.334
Tm 0.833 0.666 0.666
Ho 0.166 0.833 0.333
Ho 0.834 0.167 0.667
Ho 0.500 0.500 0.000
Dy 0.500 0.000 0.000

* DOS(E_F): 0.16 states/eV/atom
* E_tot: -73.4 eV/f.u.
* DFT formation energy: -1.5216 eV per atom
* space group: C2/m (12)


The following is a DFT calculation (PBE-GGA) of an optimized crystal structure of TaTeMo2.

Cell lengths 4.577, 4.577, 3.335 Å; angles 90.00, 90.00, 90.01 degrees
Positions (direct):
Ta 0.500 0.000 0.500
Mo 0.500 0.500 0.000
Mo 0.000 0.000 0.000
Te 0.000 0.500 0.500

* DOS(E_F): 0.82 states/eV/atom
* E_tot: -35.9 eV/f.u.
* ΔE_f (raw): 0.20 eV/atom
* space group: P4/mmm (123)


The following is a DFT calculation (PBE-GGA) of an optimized crystal structure of BaP2RhS8.

Cell lengths 5.865, 5.865, 8.832 Å; angles 90.00, 90.00, 120.00 degrees
Positions (direct):
S 0.328 0.010 0.665
S 0.681 0.672 0.665
S 0.319 0.328 0.335
S 0.990 0.319 0.665
S 0.010 0.681 0.335
S 0.672 0.990 0.335
S 0.667 0.333 0.048
S 0.333 0.667 0.952
P 0.667 0.333 0.278
P 0.333 0.667 0.722
Ba 0.000 0.000 0.000
Rh 0.000 0.000 0.500

* DOS(E_F): 1.11 states/eV/atom
* E_tot: -59.5 eV/f.u.
* ΔE_f (raw): -0.53 eV/atom
* space group: P-3 (147)


The following is a DFT calculation (PBE-GGA) of an optimized crystal structure of CeTmMgAu.

Cell lengths 5.229, 5.229, 5.229 Å; angles 60.00, 60.00, 60.00 degrees
Each line ends with the local moment (μB).
Positions (direct):
Tm 0.000 0.000 0.000  0.03
Ce 0.500 0.500 0.500  0.70
Au 0.250 0.250 0.250  0.00
Mg 0.750 0.750 0.750  0.00

* DOS(E_F): 2.14 states/eV/atom
* E_tot: -16.4 eV/f.u.
* DFT formation energy: -0.2898 eV per atom
* space group: F-43m (216)


The following is a DFT calculation (PBE-GGA) of an optimized crystal structure of As2IrAu.

Cell lengths 2.909, 4.975, 4.755 Å; angles 90.00, 90.00, 90.00 degrees
Positions (direct):
Ir 0.000 0.500 0.500
As 0.500 0.500 0.000
As 0.000 0.000 0.000
Au 0.500 0.000 0.500

* DOS(E_F): 0.63 states/eV/atom
* E_tot: -19.7 eV/f.u.
* distance to the lowest polymorph of the same formula: 495 meV/atom
* DFT formation energy: 0.4436 eV per atom
* space group: Pmmm (47)


The following is a DFT calculation (PBE-GGA) of an optimized crystal structure of KB2O.

Cell lengths 3.528, 3.528, 8.262 Å; angles 77.67, 77.67, 90.00 degrees
Positions (direct):
K 0.750 0.250 0.500
K 0.000 0.000 0.000
B 0.375 0.625 0.750
B 0.375 0.125 0.250
B 0.875 0.625 0.750
B 0.375 0.625 0.250
O 0.250 0.750 0.500
O 0.500 0.500 0.000

* DOS(E_F): 0.08 states/eV/atom
* E_tot: -18.0 eV/f.u.
* ΔE_f (raw): 0.36 eV/atom
* space group: I4_1/amd (141)


The following is a DFT calculation (PBE-GGA) of an optimized crystal structure of SbAsI2O.

Cell lengths 5.948, 5.948, 3.801 Å; angles 90.00, 90.00, 90.00 degrees
Positions (direct):
I 0.000 0.500 0.000
I 0.500 0.000 0.000
As 0.000 0.000 0.000
O 0.000 0.000 0.500
Sb 0.500 0.500 0.500

* DOS(E_F): 0.53 states/eV/atom
* E_tot: -16.7 eV/f.u.
* distance to the lowest polymorph of the same formula: 0 meV/atom
* ΔE_f (raw): 0.03 eV/atom
* space group: P4/mmm (123)


The following is a DFT calculation (PBE-GGA) of an optimized crystal structure of Ho2Tc3W.

Cell lengths 5.474, 5.474, 5.377 Å; angles 90.16, 120.52, 119.89 degrees
Positions (direct):
Ho 0.750 0.375 0.126
Ho 0.250 0.625 0.874
Tc 0.000 0.000 0.500
Tc 0.500 0.000 0.500
Tc 0.500 0.500 0.500
W 0.000 0.000 0.000

* DOS(E_F): 0.87 states/eV/atom
* E_tot: -54.0 eV/f.u.
* DFT formation energy: -0.1318 eV per atom
* space group: C2/m (12)


The following is a DFT calculation (PBE-GGA) of an optimized crystal structure of Bi2AsCl.

Cell lengths 3.841, 3.841, 8.987 Å; angles 77.66, 77.66, 60.00 degrees
Positions (direct):
Cl 0.502 0.502 0.493
Bi 0.073 0.073 0.781
Bi 0.257 0.257 0.229
As 0.668 0.668 0.997

* DOS(E_F): 0.31 states/eV/atom
* E_tot: -14.9 eV/f.u.
* distance to the lowest polymorph of the same formula: 0 meV/atom
* ΔE_f (raw): -0.17 eV/atom
* space group: R3m (160)


The following is a DFT calculation (PBE-GGA) of an optimized crystal structure of Mg3SiRu.

Cell lengths 4.889, 4.889, 4.889 Å; angles 90.00, 90.00, 90.00 degrees
Positions (direct):
Si 0.500 0.500 0.500
Mg 0.000 0.000 0.500
Mg 0.500 0.000 0.000
Mg 0.000 0.500 0.000
Ru 0.000 0.000 0.000

* DOS(E_F): 0.43 states/eV/atom
* E_tot: -16.2 eV/f.u.
* distance to the lowest polymorph of the same formula: 0 meV/atom
* ΔE_f (raw): 0.66 eV/atom
* space group: Pm-3m (221)


The following is a DFT calculation (PBE-GGA) of an optimized crystal structure of SrBiSb2Te.

Cell lengths 5.787, 5.787, 6.060 Å; angles 90.00, 90.00, 90.00 degrees
Positions (direct):
Sb 0.000 0.500 0.000
Sb 0.500 0.000 0.000
Te 0.000 0.000 0.500
Sr 0.500 0.500 0.500
Bi 0.000 0.000 0.000

* DOS(E_F): 1.09 states/eV/atom
* E_tot: -16.5 eV/f.u.
* distance to the lowest polymorph of the same formula: 0 meV/atom
* ΔE_f (raw): 0.08 eV/atom
* space group: P4/mmm (123)


The following is a DFT calculation (PBE-GGA) of an optimized crystal structure of NaPaIn2F8.

Cell lengths 6.115, 6.115, 7.183 Å; angles 115.19, 115.19, 90.00 degrees
Positions (direct):
F 0.920 0.842 0.274
F 0.568 0.646 0.726
F 0.354 0.842 0.274
F 0.158 0.646 0.726
F 0.354 0.432 0.274
F 0.568 0.080 0.726
F 0.158 0.080 0.726
F 0.920 0.432 0.274
Na 0.500 0.500 0.000
Pa 0.250 0.750 0.500
In 0.750 0.250 0.500
In 0.000 0.000 0.000

* DOS(E_F): 0.00 states/eV/atom
* E_tot: -66.5 eV/f.u.
* ΔE_f (raw): -2.94 eV/atom
* space group: I-4m2 (119)


The following is a DFT calculation (PBE-GGA) of an optimized crystal structure of LaIn2N.

Cell lengths 8.950, 8.950, 6.786 Å; angles 48.74, 48.74, 90.00 degrees
Positions (direct):
La 0.750 0.250 0.500
La 0.000 0.000 0.000
N 0.500 0.500 0.000
N 0.250 0.750 0.500
In 0.220 0.625 0.250
In 0.530 0.125 0.250
In 0.375 0.470 0.750
In 0.875 0.780 0.750

* DOS(E_F): 0.18 states/eV/atom
* E_tot: -19.1 eV/f.u.
* ΔE_f (raw): -0.08 eV/atom
* space group: I-42d (122)